Entry 1:
DFT (PBE) results for a geometry-optimized BeRePb structure.

It has space group F-43m (No. 216), with a = 5.868 Å, b = 5.868 Å, c = 5.868 Å, α = 90.00°, β = 90.00° and γ = 90.00°. The asymmetric unit holds Be at (0.000, 0.000, 0.000), Re at (0.250, 0.250, 0.250) and Pb at (0.250, 0.250, 0.750).

For the formation energy from the elements, the calculation gives 1.019 eV per atom. As for the distance to the lowest polymorph of the same formula: 1.284 eV/f.u.

Entry 2:
DFT (PBE) results for a geometry-optimized Ce8Cd2Ru3 structure.

It has space group C2/m (No. 12), with a = 13.905 Å, b = 6.580 Å, c = 8.220 Å, α = 90.00°, β = 112.40° and γ = 90.00°. The asymmetric unit holds Ce at (0.108, 0.215, 0.392), Ce at (0.122, 0.000, 0.010), Ce at (0.142, 0.500, 0.827), Cd at (0.242, 0.500, 0.236), Ru at (0.000, 0.297, 0.000) and Ru at (0.000, 0.500, 0.500).

For the formation energy from the elements, the calculation gives -0.066 eV per atom.

Entry 3:
DFT (PBE) results for a geometry-optimized Ca2TlPd6 structure.

It has space group C2/m (No. 12), with a = 10.253 Å, b = 8.554 Å, c = 4.558 Å, α = 90.00°, β = 116.28° and γ = 90.00°. The asymmetric unit holds Ca at (0.170, 0.000, 0.167), Tl at (0.000, 0.500, 0.500), Pd at (0.000, 0.303, 0.000) and Pd at (0.160, 0.218, 0.659).

For the formation energy from the elements, the calculation gives -0.314 eV per atom.

Entry 4:
DFT (PBE) results for a geometry-optimized Ca3Zn8Rh structure.

It has space group R3m (No. 160, hexagonal axes), with a = 5.3346 Å, b = 5.3346 Å, c = 26.5723 Å, α = 90.00°, β = 90.00° and γ = 120.00°. The asymmetric unit holds Ca at (0.0000, 0.0000, 0.0000), Ca at (0.0000, 0.0000, 0.1284), Ca at (0.0000, 0.0000, 0.5136), Zn at (0.0000, 0.0000, 0.3163), Zn at (0.0000, 0.0000, 0.8175), Zn at (0.1676, 0.3352, 0.9041), Zn at (0.1701, 0.3401, 0.3959) and Rh at (0.0000, 0.0000, 0.6305).

For the formation energy from the elements, the calculation gives -0.242 eV per atom.

Entry 5:
DFT (PBE) results for a geometry-optimized Na2Hg3 structure.

It has space group R-3c (No. 167, hexagonal axes), with a = 8.8132 Å, b = 8.8132 Å, c = 12.3867 Å, α = 90.00°, β = 90.00° and γ = 120.00°. The asymmetric unit holds Na at (0.0000, 0.0000, 0.1233) and Hg at (0.0000, 0.3163, 0.2500).

For the formation energy from the elements, the calculation gives -0.111 eV per atom. As for the distance to the lowest polymorph of the same formula: 0.151 eV/f.u.

Entry 6:
DFT (PBE) results for a geometry-optimized GdPaTcIr structure.

It has space group F-43m (No. 216), with a = 6.905 Å, b = 6.905 Å, c = 6.905 Å, α = 90.00°, β = 90.00° and γ = 90.00°. The asymmetric unit holds Gd at (0.000, 0.000, 0.000), Pa at (0.000, 0.000, 0.500), Tc at (0.250, 0.250, 0.250) and Ir at (0.250, 0.250, 0.750).

For the formation energy from the elements, the calculation gives -0.383 eV per atom.

Entry 7:
DFT (PBE) results for a geometry-optimized CsCd2BIr structure.

It has space group P4/mmm (No. 123), with a = 5.275 Å, b = 5.275 Å, c = 5.912 Å, α = 90.00°, β = 90.00° and γ = 90.00°. The asymmetric unit holds Cs at (0.000, 0.000, 0.000), Cd at (0.000, 0.500, 0.500), B at (0.500, 0.500, 0.000) and Ir at (0.000, 0.000, 0.500).

For the formation energy from the elements, the calculation gives 1.362 eV per atom.

Entry 8:
DFT (PBE) results for a geometry-optimized TaTlP2S structure.

It has space group P4/mmm (No. 123), with a = 4.922 Å, b = 4.922 Å, c = 4.811 Å, α = 90.00°, β = 90.00° and γ = 90.00°. The asymmetric unit holds Ta at (0.000, 0.000, 0.000), Tl at (0.500, 0.500, 0.500), P at (0.000, 0.500, 0.000) and S at (0.000, 0.000, 0.500).

As for the distance to the lowest polymorph of the same formula: 0.000 eV/f.u. The formation energy (no corrections) comes out at -3 kJ/mol of atoms.

Entry 9:
DFT (PBE) results for a geometry-optimized MnTl2Au structure.

It has space group P2/m (No. 10), with a = 3.418 Å, b = 4.669 Å, c = 5.721 Å, α = 90.00°, β = 96.82° and γ = 90.00°. The asymmetric unit holds Mn at (0.000, 0.000, 0.000), Tl at (0.259, 0.500, 0.753) and Au at (0.500, 0.000, 0.500).

For the formation energy from the elements, the calculation gives 0.344 eV per atom. As for the distance to the lowest polymorph of the same formula: 0.809 eV/f.u.

Entry 10:
DFT (PBE) results for a geometry-optimized BaLiTm2S4 structure.

It has space group Cmcm (No. 63), with a = 4.021 Å, b = 13.238 Å, c = 13.560 Å, α = 90.00°, β = 90.00° and γ = 90.00°. The asymmetric unit holds Ba at (0.000, 0.115, 0.250), Li at (0.000, 0.158, 0.750), Tm at (0.000, 0.372, 0.055), S at (0.000, 0.000, 0.000), S at (0.000, 0.263, 0.611) and S at (0.000, 0.433, 0.250).

The formation energy (no corrections) comes out at -186 kJ/mol of atoms.

Entry 11:
DFT (PBE) results for a geometry-optimized Zr2CoTeP structure.

It has space group P4/mmm (No. 123), with a = 5.057 Å, b = 5.057 Å, c = 3.981 Å, α = 90.00°, β = 90.00° and γ = 90.00°. The asymmetric unit holds Zr at (0.000, 0.500, 0.000), Co at (0.000, 0.000, 0.000), Te at (0.500, 0.500, 0.500) and P at (0.000, 0.000, 0.500).

The formation energy (no corrections) comes out at -40 kJ/mol of atoms.

Entry 12:
DFT (PBE) results for a geometry-optimized PrTl2OsO8 structure.

It has space group C2/m (No. 12), with a = 7.302 Å, b = 7.252 Å, c = 6.888 Å, α = 90.00°, β = 93.08° and γ = 90.00°. The asymmetric unit holds Pr at (0.000, 0.000, 0.000), Tl at (0.024, 0.500, 0.251), Os at (0.000, 0.000, 0.500), O at (0.008, 0.179, 0.702), O at (0.187, 0.500, 0.982) and O at (0.239, 0.500, 0.500).

The formation energy (no corrections) comes out at -119 kJ/mol of atoms.

Entry 13:
DFT (PBE) results for a geometry-optimized HfP2ClF structure.

It has space group P4/mmm (No. 123), with a = 5.043 Å, b = 5.043 Å, c = 4.889 Å, α = 90.00°, β = 90.00° and γ = 90.00°. The asymmetric unit holds Hf at (0.000, 0.000, 0.000), P at (0.000, 0.500, 0.000), Cl at (0.000, 0.000, 0.500) and F at (0.500, 0.500, 0.500).

As for the distance to the lowest polymorph of the same formula: 0.000 eV/f.u. The formation energy (no corrections) comes out at -16 kJ/mol of atoms.

Entry 14:
DFT (PBE) results for a geometry-optimized EuYIn structure.

It has space group I4mm (No. 107), with a = 3.751 Å, b = 3.751 Å, c = 13.486 Å, α = 90.00°, β = 90.00° and γ = 90.00°. The asymmetric unit holds Eu at (0.000, 0.000, 0.000), Y at (0.000, 0.000, 0.297) and In at (0.000, 0.000, 0.660).

For the formation energy from the elements, the calculation gives -0.272 eV per atom.

no.,final energy (eV for the cell shown)
1,-67.3
2,-156.0
3,-80.7
4,-79.3
5,-24.6
6,-177.3
7,-11.4
8,-29.3
9,-15.8
10,-178.9
11,-34.9
12,-150.4
13,-25.3
14,-40.6